A plane-wave DFT calculation with PBE with a Hubbard U was carried out for a geometry-optimized FeCuOF2 structure.

Cell and atoms, written as POSCAR:
```
FeCuOF2
1.0
3.982 0.000 0.000
0.000 3.982 0.000
0.000 0.000 3.847
O Fe Cu F
1 1 1 2
Direct
0.000 0.000 0.500
0.000 0.000 0.000
0.500 0.500 0.500
0.000 0.500 0.000
0.500 0.000 0.000
```

Calculated values
- crystal system = tetragonal
- magnetization (μB per atom) = 1.000
- raw total energy (eV/atom) = -4.932